Compound: Tb3ThZn2
Source: Alexandria
Functional: PBE
Structure: relaxed

Values from the calculation:
Energy, eV per atom: -4.20
ΔE_f, eV per atom: -0.225
Crystal system: tetragonal

Cell: 3.5635 3.5635 12.2349 Å, 90.00 90.00 90.00°
Closest atoms and distances in Å follow each position.
Space group P4/mmm (No. 123)
Inequivalent atoms, fractional coordinates:
Tb 0.0000 0.0000 0.0000 [1 per cell]  8 Zn 3.10
Tb 0.0000 0.0000 0.2956 [2 per cell]  4 Zn 3.11
Th 0.5000 0.5000 0.5000 [1 per cell]  8 Tb 3.55, 4 Th 3.56
Zn 0.5000 0.5000 0.1469 [2 per cell]  8 Tb 3.10-3.11